Entry from Alexandria via LeMat-Bulk: CdGePtRh2 at its PBEsol-relaxed geometry (SCAN).

a b c (Å): 4.767 4.767 4.816
angles (deg): 90.00 90.00 90.00
Fractional coordinates of all 5 atoms:
Cd 0.000 0.000 0.000
Ge 0.500 0.500 0.500
Pt 0.000 0.000 0.500
Rh 0.000 0.500 0.000
Rh 0.500 0.000 0.000

The density of states at the Fermi level comes out at 1.219 states/eV per atom. Its space group is P4/mmm (123). For the formation energy, the calculation gives 1634 meV/atom.